{
  "formula": "SnI2",
  "functional": "PBEsol",
  "state": "optimized geometry",
  "density_g_cm3": 5.578,
  "raw_formation_energy_ev_per_atom": -0.47,
  "final_energy_ev_per_atom": -3.0643,
  "magmom_total_mub_per_cell": 0.00,
  "cell": [[-3.056, 2.838, 1.352], [-3.520, -5.556, -3.402], [-0.424, -4.985, 9.502]],
  "species": ["Sn", "Sn", "Sn", "I", "I", "I", "I", "I", "I"],
  "fractional_positions": [[0.000, 0.000, 0.000], [0.263, 0.525, 0.303], [0.737, 0.475, 0.697], [0.080, 0.160, 0.730], [0.920, 0.840, 0.270], [0.360, 0.721, 0.561], [0.640, 0.279, 0.439], [0.351, 0.702, 0.921], [0.649, 0.298, 0.079]]
}

=====

{
  "formula": "SrSnTeI2",
  "functional": "PBEsol",
  "state": "optimized geometry",
  "density_g_cm3": 4.807,
  "raw_formation_energy_ev_per_atom": -0.61,
  "final_energy_ev_per_atom": -3.2443,
  "magmom_total_mub_per_cell": 0.00,
  "cell": [[5.823, 0.000, 0.000], [0.000, 5.823, 0.000], [0.000, 0.000, 5.988]],
  "species": ["I", "I", "Sr", "Te", "Sn"],
  "fractional_positions": [[0.000, 0.500, 0.000], [0.500, 0.000, 0.000], [0.500, 0.500, 0.500], [0.000, 0.000, 0.500], [0.000, 0.000, 0.000]]
}

=====

{
  "formula": "TaSn3I",
  "functional": "PBEsol",
  "state": "optimized geometry",
  "density_g_cm3": 6.350,
  "raw_formation_energy_ev_per_atom": 1.83,
  "final_energy_ev_per_atom": -3.5931,
  "magmom_total_mub_per_cell": 2.97,
  "cell": [[5.579, 0.000, 0.000], [0.000, 5.579, 0.000], [0.000, 0.000, 5.579]],
  "species": ["I", "Sn", "Sn", "Sn", "Ta"],
  "fractional_positions": [[0.000, 0.000, 0.000], [0.000, 0.500, 0.000], [0.000, 0.000, 0.500], [0.500, 0.000, 0.000], [0.500, 0.500, 0.500]]
}

=====

{
  "formula": "TaSn2I",
  "functional": "PBEsol",
  "state": "optimized geometry",
  "density_g_cm3": 9.598,
  "raw_formation_energy_ev_per_atom": 0.84,
  "final_energy_ev_per_atom": -4.8688,
  "magmom_total_mub_per_cell": 0.00,
  "cell": [[-4.224, -0.235, -2.865], [-1.690, -4.514, -1.696], [-4.285, -2.011, 1.925]],
  "species": ["I", "Sn", "Sn", "Ta"],
  "fractional_positions": [[0.000, 0.000, 0.000], [0.250, 0.250, 0.250], [0.750, 0.750, 0.750], [0.500, 0.500, 0.500]]
}

=====

{
  "formula": "TcSn3I",
  "functional": "PBEsol",
  "state": "optimized geometry",
  "density_g_cm3": 7.014,
  "raw_formation_energy_ev_per_atom": -0.09,
  "final_energy_ev_per_atom": -5.2567,
  "magmom_total_mub_per_cell": 0.00,
  "cell": [[5.162, 0.000, 0.000], [0.000, 5.162, 0.000], [0.000, 0.000, 5.162]],
  "species": ["I", "Sn", "Sn", "Sn", "Tc"],
  "fractional_positions": [[0.500, 0.500, 0.500], [0.000, 0.500, 0.000], [0.000, 0.000, 0.500], [0.500, 0.000, 0.000], [0.000, 0.000, 0.000]]
}

=====

{
  "formula": "TiSn2I2",
  "functional": "PBEsol",
  "state": "optimized geometry",
  "density_g_cm3": 5.307,
  "raw_formation_energy_ev_per_atom": 0.19,
  "final_energy_ev_per_atom": -3.8882,
  "magmom_total_mub_per_cell": 2.00,
  "cell": [[-2.189, 2.472, -2.050], [-3.046, -2.383, 0.380], [-0.301, 5.188, 10.259]],
  "species": ["I", "I", "Sn", "Sn", "Ti"],
  "fractional_positions": [[0.423, 0.423, 0.846], [0.577, 0.577, 0.154], [0.250, 0.750, 0.500], [0.750, 0.250, 0.500], [0.000, 0.000, 0.000]]
}

=====

{
  "formula": "TiSn3I",
  "functional": "PBEsol",
  "state": "optimized geometry",
  "density_g_cm3": 4.846,
  "raw_formation_energy_ev_per_atom": 1.27,
  "final_energy_ev_per_atom": -3.3062,
  "magmom_total_mub_per_cell": 2.54,
  "cell": [[-5.654, 0.371, 0.042], [-0.048, -0.090, -5.665], [-0.371, -5.653, 0.093]],
  "species": ["I", "Sn", "Sn", "Sn", "Ti"],
  "fractional_positions": [[0.000, 0.000, 0.000], [0.000, 0.500, 0.000], [0.000, 0.000, 0.500], [0.500, 0.000, 0.000], [0.500, 0.500, 0.500]]
}

=====

{
  "formula": "TlSnI3",
  "functional": "PBEsol",
  "state": "optimized geometry",
  "density_g_cm3": 6.129,
  "raw_formation_energy_ev_per_atom": -0.52,
  "final_energy_ev_per_atom": -2.9611,
  "magmom_total_mub_per_cell": 0.00,
  "cell": [[-4.093, -1.848, 0.376], [4.939, -4.765, 3.343], [-1.547, 5.487, 10.107]],
  "species": ["I", "I", "I", "I", "I", "I", "Tl", "Tl", "Sn", "Sn"],
  "fractional_positions": [[0.076, 0.153, 0.750], [0.924, 0.847, 0.250], [0.644, 0.288, 0.443], [0.356, 0.712, 0.557], [0.644, 0.288, 0.057], [0.356, 0.712, 0.943], [0.248, 0.496, 0.250], [0.752, 0.504, 0.750], [0.000, 0.000, 0.000], [0.000, 0.000, 0.500]]
}

=====

{
  "formula": "Tl4SnI6",
  "functional": "PBEsol",
  "state": "optimized geometry",
  "density_g_cm3": 6.951,
  "raw_formation_energy_ev_per_atom": -0.56,
  "final_energy_ev_per_atom": -2.8656,
  "magmom_total_mub_per_cell": 0.00,
  "cell": [[-4.185, 0.722, 1.456], [1.363, -6.405, 7.096], [6.238, 13.674, 11.145]],
  "species": ["Tl", "Tl", "Tl", "Tl", "Tl", "Tl", "Tl", "Tl", "Sn", "Sn", "I", "I", "I", "I", "I", "I", "I", "I", "I", "I", "I", "I"],
  "fractional_positions": [[0.500, 0.103, 0.421], [0.500, 0.897, 0.579], [0.500, 0.397, 0.921], [0.500, 0.603, 0.079], [0.500, 0.295, 0.204], [0.500, 0.705, 0.796], [0.500, 0.205, 0.704], [0.500, 0.795, 0.296], [0.000, 0.000, 0.000], [0.000, 0.500, 0.500], [0.000, 0.305, 0.055], [0.000, 0.695, 0.945], [0.000, 0.195, 0.555], [0.000, 0.805, 0.445], [0.000, 0.091, 0.286], [0.000, 0.909, 0.714], [0.000, 0.409, 0.786], [0.000, 0.591, 0.214], [0.500, 0.441, 0.384], [0.500, 0.559, 0.616], [0.500, 0.059, 0.884], [0.500, 0.941, 0.116]]
}

=====

{
  "formula": "Tl3SnI5",
  "functional": "PBEsol",
  "state": "optimized geometry",
  "density_g_cm3": 6.929,
  "raw_formation_energy_ev_per_atom": -0.55,
  "final_energy_ev_per_atom": -2.8809,
  "magmom_total_mub_per_cell": 0.00,
  "cell": [[-7.244, 1.644, 4.610], [1.147, -8.147, 4.707], [8.640, 7.513, 10.899]],
  "species": ["Tl", "Tl", "Tl", "Tl", "Tl", "Tl", "Tl", "Tl", "Tl", "Tl", "Tl", "Tl", "Sn", "Sn", "Sn", "Sn", "I", "I", "I", "I", "I", "I", "I", "I", "I", "I", "I", "I", "I", "I", "I", "I", "I", "I", "I", "I"],
  "fractional_positions": [[0.443, 0.406, 0.211], [0.057, 0.594, 0.711], [0.557, 0.906, 0.289], [0.943, 0.094, 0.789], [0.717, 0.296, 0.056], [0.783, 0.704, 0.556], [0.283, 0.796, 0.444], [0.217, 0.204, 0.944], [0.075, 0.672, 0.026], [0.425, 0.328, 0.526], [0.925, 0.172, 0.474], [0.575, 0.828, 0.974], [0.072, 0.052, 0.204], [0.428, 0.948, 0.704], [0.928, 0.552, 0.296], [0.572, 0.448, 0.796], [0.400, 0.054, 0.110], [0.100, 0.946, 0.610], [0.600, 0.554, 0.390], [0.900, 0.446, 0.890], [0.085, 0.498, 0.477], [0.415, 0.502, 0.977], [0.915, 0.998, 0.023], [0.585, 0.002, 0.523], [0.268, 0.154, 0.352], [0.232, 0.846, 0.852], [0.732, 0.654, 0.148], [0.768, 0.346, 0.648], [0.083, 0.352, 0.133], [0.417, 0.648, 0.633], [0.917, 0.852, 0.367], [0.583, 0.148, 0.867], [0.231, 0.708, 0.224], [0.269, 0.292, 0.724], [0.769, 0.208, 0.276], [0.731, 0.792, 0.776]]
}

=====

{
  "formula": "TlSn2I5",
  "functional": "PBEsol",
  "state": "optimized geometry",
  "density_g_cm3": 6.466,
  "raw_formation_energy_ev_per_atom": -0.50,
  "final_energy_ev_per_atom": -2.9982,
  "magmom_total_mub_per_cell": 0.00,
  "cell": [[8.599, 0.000, 0.000], [-4.299, 8.624, 0.091], [0.000, 4.208, 7.499]],
  "species": ["Tl", "Tl", "Sn", "Sn", "Sn", "Sn", "I", "I", "I", "I", "I", "I", "I", "I", "I", "I"],
  "fractional_positions": [[0.250, 0.500, 0.750], [0.750, 0.500, 0.250], [0.661, 0.000, 0.161], [0.339, 0.000, 0.839], [0.161, 0.000, 0.339], [0.839, 0.000, 0.661], [0.000, 0.000, 0.000], [0.500, 0.000, 0.500], [0.299, 0.283, 0.516], [0.701, 0.717, 0.484], [0.984, 0.283, 0.201], [0.799, 0.283, 0.701], [0.516, 0.717, 0.984], [0.016, 0.717, 0.799], [0.201, 0.717, 0.299], [0.484, 0.283, 0.016]]
}

=====

{
  "formula": "Y3SnI",
  "functional": "PBEsol",
  "state": "optimized geometry",
  "density_g_cm3": 4.621,
  "raw_formation_energy_ev_per_atom": 0.07,
  "final_energy_ev_per_atom": -5.2268,
  "magmom_total_mub_per_cell": 0.00,
  "cell": [[-2.284, -3.903, 3.452], [-0.885, -3.423, -4.456], [5.134, -2.326, 0.767]],
  "species": ["I", "Y", "Y", "Y", "Sn"],
  "fractional_positions": [[0.500, 0.500, 0.500], [0.000, 0.500, 0.000], [0.000, 0.000, 0.500], [0.500, 0.000, 0.000], [0.000, 0.000, 0.000]]
}

=====

Question: What is the formula in the eleventh record?
Answer: TlSn2I5